Record 1
The following is a GGA-PBE calculation of crystalline Na3Pm2InSe6 at its relaxed geometry, from Alexandria via LeMat-Bulk.

The structure in CIF format:
```
data_Na3Pm2InSe6
_chemical_formula_sum 'Na6 Pm4 In2 Se12'
_symmetry_space_group_name_H-M 'C 1 2/m 1'
_symmetry_Int_Tables_number 12
_cell_length_a 7.238
_cell_length_b 12.540
_cell_length_c 7.461
_cell_angle_alpha 90.00
_cell_angle_beta 108.83
_cell_angle_gamma 90.00
loop_
_symmetry_equiv_pos_as_xyz
'x,y,z'
'-x,-y,-z'
'-x,y,-z'
'x,-y,z'
'x+1/2,y+1/2,z'
'-x+1/2,-y+1/2,-z'
'-x+1/2,y+1/2,-z'
'x+1/2,-y+1/2,z'
loop_
_atom_site_label
_atom_site_type_symbol
_atom_site_fract_x
_atom_site_fract_y
_atom_site_fract_z
_atom_site_occupancy
Na1 Na 0.000 0.000 0.000 1
Na2 Na 0.000 0.334 0.000 1
Pm1 Pm 0.000 0.167 0.500 1
In1 In 0.000 0.500 0.500 1
Se1 Se 0.238 0.339 0.733 1
Se2 Se 0.244 0.500 0.270 1
```

## Properties
crystal system = monoclinic
formation energy without anion corrections = -1370 meV per atom

---

Record 2
The following is a GGA-PBE calculation of crystalline Zr2TaV at its relaxed geometry, from Alexandria via LeMat-Bulk.

The structure in CIF format:
```
data_Zr2TaV
_chemical_formula_sum 'Zr8 Ta4 V4'
_symmetry_space_group_name_H-M 'I -4 2 d'
_symmetry_Int_Tables_number 122
_symmetry_space_group_name_Hall 'I -4 2bw'
_cell_length_a 7.477
_cell_length_b 7.477
_cell_length_c 5.728
_cell_angle_alpha 90.00
_cell_angle_beta 90.00
_cell_angle_gamma 90.00
loop_
_atom_site_label
_atom_site_type_symbol
_atom_site_fract_x
_atom_site_fract_y
_atom_site_fract_z
_atom_site_occupancy
Zr1 Zr 0.233 0.750 0.125 1
Ta1 Ta 0.000 0.000 0.500 1
V1 V 0.000 0.000 0.000 1
```

## Properties
crystal system = tetragonal
E above lowest polymorph = 450 meV/atom
ΔE_f = 650.7 meV per atom

---

Record 3
The following is a GGA-PBE calculation of crystalline CaOs2Au at its relaxed geometry, from Alexandria via LeMat-Bulk.

The structure in CIF format:
```
data_CaOs2Au
_chemical_formula_sum 'Ca3 Os6 Au3'
_symmetry_space_group_name_H-M 'R -3 m'
_symmetry_Int_Tables_number 166
_symmetry_space_group_name_Hall '-R 3 2"'
_cell_length_a 2.8455
_cell_length_b 2.8455
_cell_length_c 29.2728
_cell_angle_alpha 90.00
_cell_angle_beta 90.00
_cell_angle_gamma 120.00
loop_
_atom_site_label
_atom_site_type_symbol
_atom_site_fract_x
_atom_site_fract_y
_atom_site_fract_z
_atom_site_occupancy
Ca1 Ca 0.0000 0.0000 0.0000 1
Os1 Os 0.0000 0.0000 0.2471 1
Au1 Au 0.0000 0.0000 0.5000 1
```

## Properties
crystal system = trigonal
E above lowest polymorph = 575 meV/atom
ΔE_f = 764.9 meV per atom

---

Record 4
The following is a GGA-PBE calculation of crystalline Ac2H2Se at its relaxed geometry, from Alexandria via LeMat-Bulk.

The structure in CIF format:
```
data_Ac2H2Se
_chemical_formula_sum 'Ac8 H8 Se4'
_symmetry_space_group_name_H-M 'C 1 2/c 1'
_symmetry_Int_Tables_number 15
_cell_length_a 10.400
_cell_length_b 7.825
_cell_length_c 7.116
_cell_angle_alpha 90.00
_cell_angle_beta 131.52
_cell_angle_gamma 90.00
loop_
_symmetry_equiv_pos_as_xyz
'x,y,z'
'-x,-y,-z'
'-x,y,-z+1/2'
'x,-y,z+1/2'
'x+1/2,y+1/2,z'
'-x+1/2,-y+1/2,-z'
'-x+1/2,y+1/2,-z+1/2'
'x+1/2,-y+1/2,z+1/2'
loop_
_atom_site_label
_atom_site_type_symbol
_atom_site_fract_x
_atom_site_fract_y
_atom_site_fract_z
_atom_site_occupancy
Ac1 Ac 0.170 0.159 0.177 1
H1 H 0.130 0.130 0.493 1
Se1 Se 0.000 0.464 0.750 1
```

## Properties
crystal system = monoclinic
uncorrected energy = -4.63 eV/atom

---

Record 5
The following is a GGA-PBE calculation of crystalline EuY2As at its relaxed geometry, from Alexandria via LeMat-Bulk.

The structure in CIF format:
```
data_EuY2As
_chemical_formula_sum 'Eu3 Y6 As3'
_symmetry_space_group_name_H-M 'R -3 m'
_symmetry_Int_Tables_number 166
_symmetry_space_group_name_Hall '-R 3 2"'
_cell_length_a 3.9449
_cell_length_b 3.9449
_cell_length_c 29.3122
_cell_angle_alpha 90.00
_cell_angle_beta 90.00
_cell_angle_gamma 120.00
loop_
_atom_site_label
_atom_site_type_symbol
_atom_site_fract_x
_atom_site_fract_y
_atom_site_fract_z
_atom_site_occupancy
Eu1 Eu 0.0000 0.0000 0.0000 1
Y1 Y 0.0000 0.0000 0.2241 1
As1 As 0.0000 0.0000 0.5000 1
```

## Properties
crystal system = trigonal
ΔE_f = -648.3 meV per atom

---

Record 6
The following is a GGA-PBE calculation of crystalline LiHfH4 at its relaxed geometry, from Alexandria via LeMat-Bulk.

The structure in CIF format:
```
data_LiHfH4
_chemical_formula_sum 'Li4 Hf4 H16'
_symmetry_space_group_name_H-M 'C 1 2/c 1'
_symmetry_Int_Tables_number 15
_cell_length_a 6.369
_cell_length_b 9.259
_cell_length_c 4.651
_cell_angle_alpha 90.00
_cell_angle_beta 131.77
_cell_angle_gamma 90.00
loop_
_symmetry_equiv_pos_as_xyz
'x,y,z'
'-x,-y,-z'
'-x,y,-z+1/2'
'x,-y,z+1/2'
'x+1/2,y+1/2,z'
'-x+1/2,-y+1/2,-z'
'-x+1/2,y+1/2,-z+1/2'
'x+1/2,-y+1/2,z+1/2'
loop_
_atom_site_label
_atom_site_type_symbol
_atom_site_fract_x
_atom_site_fract_y
_atom_site_fract_z
_atom_site_occupancy
Li1 Li 0.000 0.134 0.250 1
Hf1 Hf 0.000 0.370 0.750 1
H1 H 0.214 0.472 0.638 1
H2 H 0.249 0.265 0.242 1
```

## Properties
crystal system = monoclinic
E above lowest polymorph = 0 meV/atom

---

Record 7
The following is a GGA-PBE calculation of crystalline Ba2AgHg4Sb2 at its relaxed geometry, from Alexandria via LeMat-Bulk.

The structure in CIF format:
```
data_Ba2AgHg4Sb2
_chemical_formula_sum 'Ba4 Ag2 Hg8 Sb4'
_symmetry_space_group_name_H-M 'I 4/m m m'
_symmetry_Int_Tables_number 139
_symmetry_space_group_name_Hall '-I 4 2'
_cell_length_a 7.155
_cell_length_b 7.155
_cell_length_c 10.716
_cell_angle_alpha 90.00
_cell_angle_beta 90.00
_cell_angle_gamma 90.00
loop_
_atom_site_label
_atom_site_type_symbol
_atom_site_fract_x
_atom_site_fract_y
_atom_site_fract_z
_atom_site_occupancy
Ba1 Ba 0.000 0.500 0.250 1
Ag1 Ag 0.000 0.000 0.000 1
Hg1 Hg 0.219 0.219 0.500 1
Sb1 Sb 0.000 0.000 0.272 1
```

## Properties
crystal system = tetragonal
formation energy without anion corrections = -413 meV per atom

---

Record 8
The following is a GGA-PBE calculation of crystalline Ce2MgP3Ir4 at its relaxed geometry, from Alexandria via LeMat-Bulk.

The structure in CIF format:
```
data_Ce2MgP3Ir4
_chemical_formula_sum 'Ce2 Mg1 P3 Ir4'
_symmetry_space_group_name_H-M 'P -4 m 2'
_symmetry_Int_Tables_number 115
_cell_length_a 3.984
_cell_length_b 3.984
_cell_length_c 10.795
_cell_angle_alpha 90.00
_cell_angle_beta 90.00
_cell_angle_gamma 90.00
loop_
_symmetry_equiv_pos_as_xyz
'x,y,z'
'y,-x,-z'
'-x,-y,z'
'-y,x,-z'
'-x,y,z'
'-y,-x,-z'
'x,-y,z'
'y,x,-z'
loop_
_atom_site_label
_atom_site_type_symbol
_atom_site_fract_x
_atom_site_fract_y
_atom_site_fract_z
_atom_site_occupancy
Ce1 Ce 0.000 0.500 0.241 1
Mg1 Mg 0.000 0.000 0.500 1
P1 P 0.000 0.500 0.872 1
P2 P 0.500 0.500 0.500 1
Ir1 Ir 0.000 0.000 0.000 1
Ir2 Ir 0.000 0.500 0.659 1
Ir3 Ir 0.500 0.500 0.000 1
```

## Properties
crystal system = tetragonal
ΔE_f = -923.5 meV per atom

---

Record 9
The following is a GGA-PBE calculation of crystalline K2U2PtS6 at its relaxed geometry, from Alexandria via LeMat-Bulk.

The structure in CIF format:
```
data_K2U2PtS6
_chemical_formula_sum 'K4 U4 Pt2 S12'
_symmetry_space_group_name_H-M 'C 1 2/m 1'
_symmetry_Int_Tables_number 12
_cell_length_a 6.384
_cell_length_b 12.747
_cell_length_c 7.753
_cell_angle_alpha 90.00
_cell_angle_beta 103.27
_cell_angle_gamma 90.00
loop_
_symmetry_equiv_pos_as_xyz
'x,y,z'
'-x,-y,-z'
'-x,y,-z'
'x,-y,z'
'x+1/2,y+1/2,z'
'-x+1/2,-y+1/2,-z'
'-x+1/2,y+1/2,-z'
'x+1/2,-y+1/2,z'
loop_
_atom_site_label
_atom_site_type_symbol
_atom_site_fract_x
_atom_site_fract_y
_atom_site_fract_z
_atom_site_occupancy
K1 K 0.000 0.145 0.000 1
U1 U 0.000 0.341 0.500 1
Pt1 Pt 0.000 0.000 0.500 1
S1 S 0.242 0.500 0.673 1
S2 S 0.244 0.200 0.705 1
```

## Properties
crystal system = monoclinic
formation energy without anion corrections = -1115 meV per atom

---

Record 10
The following is a GGA-PBE calculation of crystalline Li2Nd3Au3 at its relaxed geometry, from Alexandria via LeMat-Bulk.

The structure in CIF format:
```
data_Li2Nd3Au3
_chemical_formula_sum 'Li4 Nd6 Au6'
_symmetry_space_group_name_H-M 'P 63/m c m'
_symmetry_Int_Tables_number 193
_symmetry_space_group_name_Hall '-P 6c 2'
_cell_length_a 8.8547
_cell_length_b 8.8547
_cell_length_c 5.7551
_cell_angle_alpha 90.00
_cell_angle_beta 90.00
_cell_angle_gamma 120.00
loop_
_atom_site_label
_atom_site_type_symbol
_atom_site_fract_x
_atom_site_fract_y
_atom_site_fract_z
_atom_site_occupancy
Li1 Li 0.3333 0.6667 0.0000 1
Nd1 Nd 0.0000 0.2611 0.2500 1
Au1 Au 0.0000 0.3967 0.7500 1
```

## Properties
crystal system = hexagonal
ΔE_f = -589.9 meV per atom

---

Record 11
The following is a GGA-PBE calculation of crystalline Fe2ReCl at its relaxed geometry, from Alexandria via LeMat-Bulk.

The structure in CIF format:
```
data_Fe2ReCl
_chemical_formula_sum 'Fe2 Re1 Cl1'
_symmetry_space_group_name_H-M 'P 4/m m m'
_symmetry_Int_Tables_number 123
_symmetry_space_group_name_Hall '-P 4 2'
_cell_length_a 4.596
_cell_length_b 4.596
_cell_length_c 2.726
_cell_angle_alpha 90.00
_cell_angle_beta 90.00
_cell_angle_gamma 90.00
loop_
_atom_site_label
_atom_site_type_symbol
_atom_site_fract_x
_atom_site_fract_y
_atom_site_fract_z
_atom_site_occupancy
Fe1 Fe 0.000 0.500 0.000 1
Re1 Re 0.000 0.000 0.500 1
Cl1 Cl 0.500 0.500 0.500 1
```

## Properties
crystal system = tetragonal
formation energy without anion corrections = 808 meV per atom
E above lowest polymorph = 534 meV/atom

---

no.,total magnetization (Bohr magnetons per cell)
1,0.0
2,2.1
3,0.0
4,0.0
5,23.8
6,0.0
7,0.0
8,0.0
9,3.9
10,0.0
11,4.9